HgIrOs2: optimized geometry, PBE-GGA.

Unit cell a=2.7414 b=3.8410 c=6.1951 alpha=90.00 beta=90.00 gamma=90.00
Element x y z (fractional)
Hg1 0.0000 0.0000 0.0000
Ir1 0.0000 0.0000 0.5000
Os1 0.5000 0.5000 0.2907
Os2 0.5000 0.5000 0.7093

Formation energy from the elements = 63.3 kJ per mole of atoms



HgIr4Os: optimized geometry, PBE-GGA.

Unit cell a=5.1928 b=5.1928 c=5.1928 alpha=60.00 beta=60.00 gamma=60.00
Element x y z (fractional)
Hg1 0.0000 0.0000 0.0000
Ir1 0.1253 0.6249 0.6249
Ir2 0.6249 0.1253 0.6249
Ir3 0.6249 0.6249 0.1253
Ir4 0.6249 0.6249 0.6249
Os1 0.2500 0.2500 0.2500

Formation energy from the elements = 81.3 kJ per mole of atoms



HgIrOs2: optimized geometry, PBE-GGA.

Unit cell a=5.8741 b=5.8741 c=5.8741 alpha=101.48 beta=101.48 gamma=127.02
Element x y z (fractional)
Hg1 0.0000 0.0000 0.0000
Hg2 0.7500 0.2500 0.5000
Ir1 0.2500 0.7500 0.5000
Ir2 0.5000 0.5000 0.0000
Os1 0.1732 0.6250 0.0482
Os2 0.3750 0.4232 0.5482
Os3 0.5768 0.1250 0.9518
Os4 0.8750 0.8268 0.4518

Formation energy from the elements = 113.4 kJ per mole of atoms



HgIrOs2: optimized geometry, PBE-GGA.

Unit cell a=2.7884 b=2.7884 c=9.7215 alpha=90.00 beta=90.00 gamma=120.26
Element x y z (fractional)
Hg1 0.0000 0.0000 0.0000
Ir1 0.5000 0.5000 0.7345
Os1 0.0000 0.0000 0.5002
Os2 0.5000 0.5000 0.2729

Formation energy from the elements = 68.3 kJ per mole of atoms



HgIrOs2: optimized geometry, PBE-GGA.

Unit cell a=2.8175 b=4.7421 c=4.8032 alpha=90.00 beta=90.00 gamma=90.00
Element x y z (fractional)
Hg1 0.0000 0.0000 0.0000
Ir1 0.5000 0.5000 0.0000
Os1 0.0000 0.5000 0.5000
Os2 0.5000 0.0000 0.5000

Formation energy from the elements = 90.5 kJ per mole of atoms



HgIrOs2: optimized geometry, PBE-GGA.

Unit cell a=9.4922 b=9.4922 c=9.4922 alpha=16.99 beta=16.99 gamma=16.99
Element x y z (fractional)
Hg1 0.0000 0.0000 0.0000
Ir1 0.7568 0.7568 0.7568
Os1 0.2417 0.2417 0.2417
Os2 0.5002 0.5002 0.5002

Formation energy from the elements = 40.6 kJ per mole of atoms



HgIr3Os: optimized geometry, PBE-GGA.

Unit cell a=4.7640 b=4.7640 c=4.7640 alpha=90.00 beta=90.00 gamma=90.00
Element x y z (fractional)
Hg1 0.0000 0.0000 0.0000
Ir1 0.0000 0.5000 0.5000
Ir2 0.5000 0.0000 0.5000
Ir3 0.5000 0.5000 0.0000
Os1 0.5000 0.5000 0.5000

Formation energy from the elements = 164.6 kJ per mole of atoms



HgIrOs2: optimized geometry, PBE-GGA.

Unit cell a=2.7893 b=3.7953 c=6.0871 alpha=90.00 beta=90.00 gamma=90.00
Element x y z (fractional)
Hg1 0.0000 0.0000 0.0000
Ir1 0.5000 0.5000 0.2773
Os1 0.0000 0.0000 0.5100
Os2 0.5000 0.5000 0.7097

Formation energy from the elements = 53.0 kJ per mole of atoms



HgIrOs2: optimized geometry, PBE-GGA.

Unit cell a=4.9672 b=4.9672 c=2.7847 alpha=90.00 beta=90.00 gamma=113.30
Element x y z (fractional)
Hg1 0.0000 0.0000 0.0000
Ir1 0.5000 0.5000 0.0000
Os1 0.0000 0.5000 0.5000
Os2 0.5000 0.0000 0.5000

Formation energy from the elements = 80.0 kJ per mole of atoms



HgIrOs2: optimized geometry, PBE-GGA.

Unit cell a=5.8304 b=5.8304 c=5.8304 alpha=152.57 beta=133.28 gamma=55.03
Element x y z (fractional)
Hg1 0.0000 0.0000 0.0000
Ir1 0.5000 0.5000 0.0000
Os1 0.2806 0.7806 0.5000
Os2 0.7194 0.2194 0.5000

Formation energy from the elements = 68.6 kJ per mole of atoms



HgIrOs2: optimized geometry, PBE-GGA.

Unit cell a=2.7703 b=2.7703 c=9.8367 alpha=90.00 beta=90.00 gamma=120.50
Element x y z (fractional)
Hg1 0.0000 0.0000 0.0000
Ir1 0.0000 0.0000 0.5000
Os1 0.5000 0.5000 0.2667
Os2 0.5000 0.5000 0.7333

Formation energy from the elements = 76.5 kJ per mole of atoms



HgIrOs2: optimized geometry, PBE-GGA.

Unit cell a=4.5015 b=4.5015 c=4.5015 alpha=60.00 beta=60.00 gamma=60.00
Element x y z (fractional)
Hg1 0.0000 0.0000 0.0000
Ir1 0.7500 0.7500 0.7500
Os1 0.2500 0.2500 0.2500
Os2 0.5000 0.5000 0.5000

Formation energy from the elements = 95.9 kJ per mole of atoms



> Which of these has the lowest formation energy from the elements?

number 6



> Look up the formation energy from the elements of the ninth one.

80.0 kJ per mole of atoms



> Look up the formation energy from the elements of the ninth one.

80.0 kJ per mole of atoms